1.
! Be2AgP, single point on PBEsol structure, DFT SCAN; values from VASP
&SYSTEM
  ibrav = 0, nat = 4, ntyp = 3
/
ATOMIC_SPECIES
P 30.97 P.upf
Ag 107.87 Ag.upf
Be 9.01 Be.upf
ATOMIC_POSITIONS angstrom
P -0.165 0.750 2.728
Ag -1.780 -0.366 1.140
Be 0.857 -0.609 3.988
Be -1.586 -0.148 4.011
CELL_PARAMETERS angstrom
-1.860 2.877 -0.052
-3.007 -1.938 0.351
1.250 -1.100 4.638
! formation enthalpy at 0 K	-0.02	eV per atom
! space group	Pm (6)

---

2.
! CdInNi2, single point on PBEsol structure, DFT SCAN; values from VASP
&SYSTEM
  ibrav = 0, nat = 4, ntyp = 3
/
ATOMIC_SPECIES
Cd 112.41 Cd.upf
In 114.82 In.upf
Ni 58.69 Ni.upf
ATOMIC_POSITIONS angstrom
Cd 1.878 1.878 0.000
In 0.000 1.878 2.099
Ni 0.000 0.000 0.000
Ni 1.878 0.000 2.099
CELL_PARAMETERS angstrom
3.757 0.000 0.000
0.000 3.757 0.000
-1.878 -1.878 4.198
! formation enthalpy at 0 K	0.12	eV per atom
! space group	I-4m2 (119)

---

3.
! CoAg2Te, single point on PBEsol structure, DFT SCAN; values from VASP
&SYSTEM
  ibrav = 0, nat = 4, ntyp = 3
/
ATOMIC_SPECIES
Te 127.60 Te.upf
Co 58.93 Co.upf
Ag 107.87 Ag.upf
ATOMIC_POSITIONS angstrom
Te 1.678 -0.002 2.493
Co -0.019 2.094 2.493
Ag 0.812 1.079 0.000
Ag 2.505 3.105 0.000
CELL_PARAMETERS angstrom
3.356 -0.005 0.000
-0.038 4.188 0.000
0.000 0.000 4.987
! space group	P2/m (10)
! formation energy without anion corrections	0.312	eV per atom

---

4.
! Zn2CoSi, single point on PBEsol structure, DFT SCAN; values from VASP
&SYSTEM
  ibrav = 0, nat = 4, ntyp = 3
/
ATOMIC_SPECIES
Co 58.93 Co.upf
Si 28.09 Si.upf
Zn 65.41 Zn.upf
ATOMIC_POSITIONS angstrom
Co 0.000 0.000 2.164
Si 1.273 1.857 2.145
Zn 1.273 0.000 0.005
Zn 0.000 1.857 4.432
CELL_PARAMETERS angstrom
2.546 0.000 0.000
0.000 3.713 0.000
0.000 0.000 5.831
! space group	Pmm2 (25)
! formation energy without anion corrections	-0.001	eV per atom

---

5.
! IrOs2W, single point on PBEsol structure, DFT SCAN; values from VASP
&SYSTEM
  ibrav = 0, nat = 4, ntyp = 3
/
ATOMIC_SPECIES
Ir 192.22 Ir.upf
Os 190.23 Os.upf
W 183.84 W.upf
ATOMIC_POSITIONS angstrom
Ir 1.925 0.000 0.000
Os 0.000 0.000 1.928
Os 0.000 1.928 0.000
W 1.925 1.928 1.928
CELL_PARAMETERS angstrom
3.850 0.000 0.000
0.000 3.857 0.000
0.000 0.000 3.857
! formation enthalpy at 0 K	-0.17	eV per atom
! space group	P4/mmm (123)
! E above lowest polymorph	0.000	eV/atom

---

6.
! La2S3, single point on PBEsol structure, DFT SCAN; values from VASP
&SYSTEM
  ibrav = 0, nat = 20, ntyp = 2
/
ATOMIC_SPECIES
La 138.91 La.upf
S 32.06 S.upf
ATOMIC_POSITIONS angstrom
La -10.375 -2.834 -4.728
La -3.391 -2.042 -5.473
La -10.765 -4.115 -8.496
La -3.000 -0.761 -1.705
La -0.652 1.444 -6.151
La -13.113 -6.320 -4.050
La -7.159 -0.891 -3.379
La -6.606 -3.985 -6.822
S -2.001 2.043 -1.841
S -11.764 -6.919 -8.360
S -6.173 -1.220 -6.155
S -7.593 -3.655 -4.046
S -4.540 0.226 -3.887
S -9.226 -5.101 -6.314
S -2.867 0.026 -7.357
S -10.899 -4.902 -2.844
S -5.769 -1.920 -1.096
S -7.997 -2.956 -9.105
S -1.084 -0.540 -4.132
S -12.682 -4.335 -6.069
CELL_PARAMETERS angstrom
-1.731 3.587 -1.040
1.698 -1.262 -7.179
-13.733 -7.200 -1.982
! space group	Pnma (62)
! formation energy without anion corrections	-2.510	eV per atom

---

7.
! YCdIn, single point on PBEsol structure, DFT SCAN; values from VASP
&SYSTEM
  ibrav = 0, nat = 3, ntyp = 3
/
ATOMIC_SPECIES
Cd 112.41 Cd.upf
In 114.82 In.upf
Y 88.91 Y.upf
ATOMIC_POSITIONS angstrom
Cd 0.001 -0.009 0.018
In 0.180 -1.304 2.785
Y -0.448 -3.233 0.252
CELL_PARAMETERS angstrom
-3.080 -1.424 -0.467
2.000 -3.713 -1.867
0.814 0.592 5.390
! formation enthalpy at 0 K	-0.25	eV per atom
! space group	Imm2 (44)

---

8.
! MoAs2SeCl, single point on PBEsol structure, DFT SCAN; values from VASP
&SYSTEM
  ibrav = 0, nat = 5, ntyp = 4
/
ATOMIC_SPECIES
Mo 95.94 Mo.upf
As 74.92 As.upf
Se 78.96 Se.upf
Cl 35.45 Cl.upf
ATOMIC_POSITIONS angstrom
Mo 0.000 0.000 0.000
As 0.000 0.000 2.431
As 0.000 2.431 0.000
Se 2.369 0.000 0.000
Cl 2.369 2.431 2.431
CELL_PARAMETERS angstrom
4.738 0.000 0.000
0.000 4.863 0.000
0.000 0.000 4.863
! space group	P4/mmm (123)
! formation energy without anion corrections	0.221	eV per atom

---

9.
! AuSe2BrO, single point on PBEsol structure, DFT SCAN; values from VASP
&SYSTEM
  ibrav = 0, nat = 5, ntyp = 4
/
ATOMIC_SPECIES
O 16.00 O.upf
Au 196.97 Au.upf
Se 78.96 Se.upf
Br 79.90 Br.upf
ATOMIC_POSITIONS angstrom
O 0.000 0.000 0.000
Au 3.161 0.214 2.953
Se 0.712 -1.730 0.728
Se -0.499 0.576 1.857
Br 2.948 1.368 0.368
CELL_PARAMETERS angstrom
-0.998 1.152 3.714
1.423 -3.460 1.456
5.896 2.736 0.736
! space group	P4/mmm (123)
! formation energy without anion corrections	0.481	eV per atom

---

10.
! TaCuAs2, single point on PBEsol structure, DFT SCAN; values from VASP
&SYSTEM
  ibrav = 0, nat = 4, ntyp = 3
/
ATOMIC_SPECIES
As 74.92 As.upf
Cu 63.55 Cu.upf
Ta 180.95 Ta.upf
ATOMIC_POSITIONS angstrom
As -2.443 0.836 0.573
As -7.245 2.414 1.571
Cu -4.844 1.625 1.072
Ta 0.000 0.000 0.000
CELL_PARAMETERS angstrom
-2.123 1.248 -2.020
-2.735 -1.526 -0.580
-4.829 3.529 4.744
! formation enthalpy at 0 K	0.01	eV per atom
! space group	R-3m (166)

---

11.
! Li2AgAu, single point on PBEsol structure, DFT SCAN; values from VASP
&SYSTEM
  ibrav = 0, nat = 4, ntyp = 3
/
ATOMIC_SPECIES
Au 196.97 Au.upf
Ag 107.87 Ag.upf
Li 6.94 Li.upf
ATOMIC_POSITIONS angstrom
Au 0.000 0.000 0.000
Ag -1.780 -0.093 -2.401
Li 0.225 -1.806 -1.959
Li -1.555 -1.898 -4.359
CELL_PARAMETERS angstrom
-1.411 2.849 -2.788
2.229 -3.519 -1.517
-2.149 -3.034 -2.013
! formation enthalpy at 0 K	-0.44	eV per atom
! space group	I4/mmm (139)
! E above lowest polymorph	0.000	eV/atom

---

12.
! MnBe2W, single point on PBEsol structure, DFT SCAN; values from VASP
&SYSTEM
  ibrav = 0, nat = 8, ntyp = 3
/
ATOMIC_SPECIES
Be 9.01 Be.upf
Mn 54.94 Mn.upf
W 183.84 W.upf
ATOMIC_POSITIONS angstrom
Be 0.932 2.527 2.079
Be 2.437 0.842 2.079
Be -0.842 -0.753 6.236
Be 0.842 0.753 6.236
Mn 1.684 0.000 4.157
Mn 1.684 1.684 0.000
W 0.000 1.684 4.157
W 0.000 0.000 0.000
CELL_PARAMETERS angstrom
3.369 0.000 0.000
0.000 3.369 0.000
-1.684 -1.684 8.315
! formation enthalpy at 0 K	0.61	eV per atom
! space group	I-42d (122)
! E above lowest polymorph	0.639	eV/atom

---

13.
! Tc2PtW, single point on PBEsol structure, DFT SCAN; values from VASP
&SYSTEM
  ibrav = 0, nat = 4, ntyp = 3
/
ATOMIC_SPECIES
W 183.84 W.upf
Pt 195.08 Pt.upf
Tc 98.00 Tc.upf
ATOMIC_POSITIONS angstrom
W 1.530 0.056 2.981
Pt -0.842 -0.404 1.687
Tc 0.849 1.550 0.795
Tc 1.523 -1.090 0.499
CELL_PARAMETERS angstrom
-1.684 -0.809 3.375
3.046 -2.179 0.998
1.697 3.100 1.590
! formation enthalpy at 0 K	-0.24	eV per atom
! space group	P4/mmm (123)
! E above lowest polymorph	0.000	eV/atom

---

14.
! Hf2Al2Pd, single point on PBEsol structure, DFT SCAN; values from VASP
&SYSTEM
  ibrav = 0, nat = 10, ntyp = 3
/
ATOMIC_SPECIES
Hf 178.49 Hf.upf
Al 26.98 Al.upf
Pd 106.42 Pd.upf
ATOMIC_POSITIONS angstrom
Hf 3.069 -2.351 3.009
Hf 4.200 -5.399 2.116
Hf 1.340 -5.964 0.423
Hf 0.209 -2.916 1.316
Al 5.134 -2.784 1.226
Al 4.021 -5.525 -0.637
Al 1.032 -3.846 -1.323
Al 2.145 -1.104 0.540
Pd 0.000 0.000 0.000
Pd 3.083 -3.315 -0.049
CELL_PARAMETERS angstrom
-1.757 -1.686 3.530
0.335 -5.832 -2.619
5.830 -0.797 2.521
! formation enthalpy at 0 K	-0.66	eV per atom
! space group	P4/mbm (127)

---

15.
! Al2ReMo, single point on PBEsol structure, DFT SCAN; values from VASP
&SYSTEM
  ibrav = 0, nat = 4, ntyp = 3
/
ATOMIC_SPECIES
Re 186.21 Re.upf
Mo 95.94 Mo.upf
Al 26.98 Al.upf
ATOMIC_POSITIONS angstrom
Re -3.687 -2.323 2.411
Mo -1.344 -1.064 2.445
Al -2.653 -2.100 4.825
Al -2.351 -1.266 -0.018
CELL_PARAMETERS angstrom
-2.721 1.200 -0.974
-0.635 -2.666 -1.510
-2.671 -2.115 4.858
! formation enthalpy at 0 K	-0.38	eV per atom
! space group	P4mm (99)
! E above lowest polymorph	0.000	eV/atom

---

16.
! KCu2HgC, single point on PBEsol structure, DFT SCAN; values from VASP
&SYSTEM
  ibrav = 0, nat = 5, ntyp = 4
/
ATOMIC_SPECIES
C 12.01 C.upf
K 39.10 K.upf
Hg 200.59 Hg.upf
Cu 63.55 Cu.upf
ATOMIC_POSITIONS angstrom
C 0.000 0.000 0.000
K 0.373 -2.659 0.520
Hg -0.580 -3.297 -2.063
Cu 0.840 -0.234 -1.798
Cu -1.792 -0.405 -0.785
CELL_PARAMETERS angstrom
-3.585 -0.809 -1.569
1.679 -0.468 -3.596
0.745 -5.318 1.040
! formation enthalpy at 0 K	0.68	eV per atom
! space group	P4/mmm (123)

---

17.
! GaTcCl3, single point on PBEsol structure, DFT SCAN; values from VASP
&SYSTEM
  ibrav = 0, nat = 5, ntyp = 3
/
ATOMIC_SPECIES
Tc 98.00 Tc.upf
Ga 69.72 Ga.upf
Cl 35.45 Cl.upf
ATOMIC_POSITIONS angstrom
Tc 0.000 0.000 0.000
Ga -0.124 -3.957 1.221
Cl -0.400 -1.875 -1.430
Cl 1.800 -1.180 1.044
Cl -1.524 -0.902 1.608
CELL_PARAMETERS angstrom
-3.048 -1.804 3.216
-0.800 -3.750 -2.861
3.600 -2.360 2.087
! space group	Pm-3m (221)
! formation energy without anion corrections	-0.347	eV per atom

---

18.
! Fe2AgBr, single point on PBEsol structure, DFT SCAN; values from VASP
&SYSTEM
  ibrav = 0, nat = 4, ntyp = 3
/
ATOMIC_SPECIES
Ag 107.87 Ag.upf
Br 79.90 Br.upf
Fe 55.84 Fe.upf
ATOMIC_POSITIONS angstrom
Ag -2.326 0.476 2.603
Br -1.189 -0.916 -0.030
Fe -1.359 1.751 0.417
Fe 0.222 -0.360 2.216
CELL_PARAMETERS angstrom
-2.378 -1.831 -0.059
0.443 -0.720 4.431
-2.718 3.502 0.835
! space group	Cmmm (65)
! E above lowest polymorph	0.084	eV/atom
! formation energy without anion corrections	0.650	eV per atom

---

19.
! MgBeMo2Pt, single point on PBEsol structure, DFT SCAN; values from VASP
&SYSTEM
  ibrav = 0, nat = 5, ntyp = 4
/
ATOMIC_SPECIES
Be 9.01 Be.upf
Mo 95.94 Mo.upf
Mg 24.30 Mg.upf
Pt 195.08 Pt.upf
ATOMIC_POSITIONS angstrom
Be 2.215 2.254 2.254
Mo 0.000 0.000 2.254
Mo 0.000 2.254 0.000
Mg 0.000 0.000 0.000
Pt 2.215 0.000 0.000
CELL_PARAMETERS angstrom
4.430 0.000 0.000
0.000 4.509 0.000
0.000 0.000 4.509
! formation enthalpy at 0 K	1.99	eV per atom
! space group	P4/mmm (123)

---

20.
! Ba2Y, single point on PBEsol structure, DFT SCAN; values from VASP
&SYSTEM
  ibrav = 0, nat = 3, ntyp = 2
/
ATOMIC_SPECIES
Ba 137.33 Ba.upf
Y 88.91 Y.upf
ATOMIC_POSITIONS angstrom
Ba 0.000 0.000 5.664
Ba 2.034 2.034 2.520
Y 0.000 0.000 0.000
CELL_PARAMETERS angstrom
4.068 0.000 0.000
0.000 4.068 0.000
-2.034 -2.034 8.184
! formation enthalpy at 0 K	0.27	eV per atom
! space group	I4/mmm (139)
! E above lowest polymorph	0.000	eV/atom